No. 1
ErTmMgS4 after structural relaxation, computed with GGA-PBE.

Unit cell a=7.835 b=7.835 c=7.835 alpha=120.05 beta=119.97 gamma=89.98
Sites, in units of the cell vectors:
Er: 0.000 0.000 0.000
Er: 0.500 0.000 0.500
Tm: 0.500 0.000 0.000
Tm: 0.500 0.500 0.500
Mg: 0.125 0.375 0.750
Mg: 0.875 0.625 0.250
S: 0.256 0.245 0.011
S: 0.256 0.246 0.490
S: 0.256 0.766 0.010
S: 0.266 0.755 0.511
S: 0.734 0.245 0.489
S: 0.744 0.234 0.990
S: 0.744 0.754 0.510
S: 0.744 0.755 0.989

Symmetry   No. 74
Energy   -5.777 eV/atom
Density of states at the Fermi level   0.000 states/eV per cell
Uncorrected formation energy   -13.3 eV per formula unit

***

No. 2
CsBaSi2 after structural relaxation, computed with GGA-PBE.

Unit cell a=7.478 b=7.478 c=7.478 alpha=101.14 beta=101.14 gamma=127.85
Sites, in units of the cell vectors:
Cs: 0.000 0.000 0.000
Cs: 0.750 0.250 0.500
Ba: 0.250 0.750 0.500
Ba: 0.500 0.500 0.000
Si: 0.150 0.625 0.025
Si: 0.375 0.400 0.525
Si: 0.600 0.125 0.975
Si: 0.875 0.850 0.475

Energy above the lowest structure with this stoichiometry   216.8 meV/atom
Symmetry   No. 122
Energy   -2.689 eV/atom
Density of states at the Fermi level   12.144 states/eV per cell
Uncorrected formation energy   2.9 eV per formula unit

***

No. 3
Sm4Tm2Mg after structural relaxation, computed with GGA-PBE.

Unit cell a=5.904 b=3.640 c=10.893 alpha=90.00 beta=99.25 gamma=90.00
Sites, in units of the cell vectors:
Sm: 0.049 0.000 0.206
Sm: 0.434 0.500 0.748
Sm: 0.566 0.500 0.252
Sm: 0.951 0.000 0.794
Tm: 0.000 0.500 0.500
Tm: 0.500 0.000 0.500
Mg: 0.500 0.000 0.000

Energy relative to the elements   0.1261 eV/atom
Energy above the lowest structure with this stoichiometry   38.1 meV/atom
Symmetry   No. 10
Energy   -4.076 eV/atom
Density of states at the Fermi level   7.013 states/eV per cell

***

No. 4
TlPSe after structural relaxation, computed with GGA-PBE.

Unit cell a=6.353 b=6.353 c=6.353 alpha=147.30 beta=147.30 gamma=46.92
Sites, in units of the cell vectors:
Tl: 0.000 0.000 0.000
P: 0.287 0.287 0.000
Se: 0.729 0.729 0.000

Energy above the lowest structure with this stoichiometry   0.0 meV/atom
Symmetry   No. 107
Energy   -3.609 eV/atom
Density of states at the Fermi level   0.942 states/eV per cell
Uncorrected formation energy   0.4 eV per formula unit

***

No. 5
Sm4P3O after structural relaxation, computed with GGA-PBE.

Unit cell a=6.884 b=6.884 c=3.986 alpha=90.00 beta=90.00 gamma=109.44
Sites, in units of the cell vectors:
Sm: 0.238 0.238 0.500
Sm: 0.242 0.758 0.000
Sm: 0.758 0.242 0.000
Sm: 0.762 0.762 0.500
P: 0.000 0.500 0.500
P: 0.500 0.000 0.500
P: 0.500 0.500 0.000
O: 0.000 0.000 0.001

Symmetry   No. 35
Energy   -6.816 eV/atom
Density of states at the Fermi level   1.464 states/eV per cell
Uncorrected formation energy   -14.5 eV per formula unit

***

No. 6
Y5ErAu6 after structural relaxation, computed with GGA-PBE.

Unit cell a=8.850 b=8.850 c=5.112 alpha=106.70 beta=106.70 gamma=47.51
Sites, in units of the cell vectors:
Y: 0.000 0.000 0.000
Y: 0.166 0.166 0.666
Y: 0.333 0.333 0.333
Y: 0.667 0.667 0.667
Y: 0.834 0.834 0.334
Er: 0.500 0.500 0.000
Au: 0.088 0.582 0.835
Au: 0.255 0.745 0.500
Au: 0.418 0.912 0.165
Au: 0.582 0.088 0.835
Au: 0.745 0.255 0.500
Au: 0.912 0.418 0.165

Energy relative to the elements   -0.8634 eV/atom
Symmetry   No. 12
Energy   -5.576 eV/atom
Density of states at the Fermi level   6.162 states/eV per cell